Record 1
# Li2BeF GGA-PBE optimized geometry
data_Li2BeF
_cell_length_a 6.0158
_cell_length_b 6.0158
_cell_length_c 6.0158
_cell_angle_alpha 90.00
_cell_angle_beta 90.00
_cell_angle_gamma 90.00
_symmetry_space_group_name_H-M 'F m -3 m'
_symmetry_Int_Tables_number 225
_symmetry_space_group_name_Hall '-F 4 2 3'
loop_
_atom_site_label
_atom_site_fract_x
_atom_site_fract_y
_atom_site_fract_z
Li1 0.2500 0.2500 0.2500
Be1 0.0000 0.0000 0.0000
F1 0.0000 0.0000 0.5000
# E_form (uncorrected) ... -0.3554 eV/atom
# ρ ... 1278 kg/m³

---

Record 2
# ErMg15In4 GGA-PBE optimized geometry
data_ErMg15In4
_cell_length_a 4.6418
_cell_length_b 4.6418
_cell_length_c 21.5802
_cell_angle_alpha 90.00
_cell_angle_beta 90.00
_cell_angle_gamma 90.00
_symmetry_space_group_name_H-M 'P 4/m m m'
_symmetry_Int_Tables_number 123
_symmetry_space_group_name_Hall '-P 4 2'
loop_
_atom_site_label
_atom_site_fract_x
_atom_site_fract_y
_atom_site_fract_z
Er1 0.0000 0.0000 0.0000
Mg1 0.0000 0.5000 0.1059
Mg2 0.0000 0.5000 0.3018
Mg3 0.0000 0.5000 0.5000
Mg4 0.5000 0.5000 0.0000
Mg5 0.5000 0.5000 0.2051
Mg6 0.5000 0.5000 0.4004
In1 0.0000 0.0000 0.2017
In2 0.0000 0.0000 0.4015
# ρ ... 3539 kg/m³
# Formation energy ... -0.063 eV per atom

---

Record 3
# Ca2AcTlP GGA-PBE optimized geometry
data_Ca2AcTlP
_cell_length_a 5.4223
_cell_length_b 5.4223
_cell_length_c 5.9874
_cell_angle_alpha 90.00
_cell_angle_beta 90.00
_cell_angle_gamma 90.00
_symmetry_space_group_name_H-M 'P 4/m m m'
_symmetry_Int_Tables_number 123
_symmetry_space_group_name_Hall '-P 4 2'
loop_
_atom_site_label
_atom_site_fract_x
_atom_site_fract_y
_atom_site_fract_z
Ca1 0.0000 0.5000 0.0000
Ac1 0.0000 0.0000 0.5000
Tl1 0.5000 0.5000 0.5000
P1 0.0000 0.0000 0.0000
# ρ ... 5117 kg/m³
# Formation energy ... -0.625 eV per atom

---

Record 4
# Tl2FeCuSe4 GGA-PBE optimized geometry
data_Tl2FeCuSe4
_cell_length_a 5.4539
_cell_length_b 14.3966
_cell_length_c 21.5042
_cell_angle_alpha 90.00
_cell_angle_beta 90.00
_cell_angle_gamma 90.00
_symmetry_space_group_name_H-M 'F d d d'
_symmetry_Int_Tables_number 70
loop_
_symmetry_equiv_pos_as_xyz
'x,y,z'
'-x,-y,-z'
'-x+1/4,-y+1/4,z'
'x+1/4,y+1/4,-z'
'x,-y+1/4,-z+1/4'
'-x,y+1/4,z+1/4'
'-x+1/4,y,-z+1/4'
'x+1/4,-y,z+1/4'
'x,y+1/2,z+1/2'
'-x,-y+1/2,-z+1/2'
'-x+1/4,-y+3/4,z+1/2'
'x+1/4,y+3/4,-z+1/2'
'x,-y+3/4,-z+3/4'
'-x,y+3/4,z+3/4'
'-x+1/4,y+1/2,-z+3/4'
'x+1/4,-y+1/2,z+3/4'
'x+1/2,y,z+1/2'
'-x+1/2,-y,-z+1/2'
'-x+3/4,-y+1/4,z+1/2'
'x+3/4,y+1/4,-z+1/2'
'x+1/2,-y+1/4,-z+3/4'
'-x+1/2,y+1/4,z+3/4'
'-x+3/4,y,-z+3/4'
'x+3/4,-y,z+3/4'
'x+1/2,y+1/2,z'
'-x+1/2,-y+1/2,-z'
'-x+3/4,-y+3/4,z'
'x+3/4,y+3/4,-z'
'x+1/2,-y+3/4,-z+1/4'
'-x+1/2,y+3/4,z+1/4'
'-x+3/4,y+1/2,-z+1/4'
'x+3/4,-y+1/2,z+1/4'
loop_
_atom_site_label
_atom_site_fract_x
_atom_site_fract_y
_atom_site_fract_z
Tl1 0.1250 0.1250 0.3084
Fe1 0.1250 0.1250 0.1250
Cu1 0.1250 0.1250 0.6250
Se1 0.1034 0.2755 0.4358
# E_form (uncorrected) ... -0.2645 eV/atom
# ρ ... 6640 kg/m³

---

Record 5
# Dy2HoTm3S6 GGA-PBE optimized geometry
data_Dy2HoTm3S6
_cell_length_a 16.8604
_cell_length_b 3.8594
_cell_length_c 7.7716
_cell_angle_alpha 90.00
_cell_angle_beta 103.64
_cell_angle_gamma 90.00
_symmetry_space_group_name_H-M 'C 1 2/m 1'
_symmetry_Int_Tables_number 12
loop_
_symmetry_equiv_pos_as_xyz
'x,y,z'
'-x,-y,-z'
'-x,y,-z'
'x,-y,z'
'x+1/2,y+1/2,z'
'-x+1/2,-y+1/2,-z'
'-x+1/2,y+1/2,-z'
'x+1/2,-y+1/2,z'
loop_
_atom_site_label
_atom_site_fract_x
_atom_site_fract_y
_atom_site_fract_z
Dy1 0.1669 0.0000 0.3337
Ho1 0.0000 0.5000 0.0000
Tm1 0.0000 0.5000 0.5000
Tm2 0.1670 0.0000 0.8330
S1 0.0014 0.0000 0.7480
S2 0.1652 0.5000 0.5867
S3 0.1674 0.5000 0.0793
# E_form (uncorrected) ... -1.9593 eV/atom
# ρ ... 8036 kg/m³

---

Record 6
# NpAl2AgO8 GGA-PBE optimized geometry
data_NpAl2AgO8
_cell_length_a 4.7361
_cell_length_b 4.7426
_cell_length_c 6.1340
_cell_angle_alpha 86.48
_cell_angle_beta 86.45
_cell_angle_gamma 87.10
_symmetry_space_group_name_H-M 'P -1'
_symmetry_Int_Tables_number 2
loop_
_symmetry_equiv_pos_as_xyz
'x,y,z'
'-x,-y,-z'
loop_
_atom_site_label
_atom_site_fract_x
_atom_site_fract_y
_atom_site_fract_z
Np1 0.0000 0.0000 0.0000
Al1 0.4854 0.4854 0.2604
Ag1 0.0000 0.0000 0.5000
O1 0.2092 0.2070 0.2435
O2 0.2269 0.2244 0.7977
O3 0.3130 0.6850 0.0001
O4 0.3195 0.6778 0.5003
# E_form (uncorrected) ... -2.0388 eV/atom
# ρ ... 6381 kg/m³

---

Number 1: total moment 0.00 μB per formula unit, calculated volume 13.61 Å³/atom. Number 2: total moment 0.00 μB per formula unit, calculated volume 23.25 Å³/atom. Number 3: total moment 0.57 μB per formula unit, calculated volume 35.21 Å³/atom. Number 4: total moment 3.02 μB per formula unit, calculated volume 26.38 Å³/atom. Number 5: total moment 0.00 μB per formula unit, calculated volume 20.48 Å³/atom. Number 6: total moment 0.00 μB per formula unit, calculated volume 11.43 Å³/atom.